{"formula": "PrEr2Cu4Ge4", "functional": "PBE", "state": "optimized geometry", "lattice_angstrom": [[-2.094, 3.387, 6.999], [2.094, -3.387, 6.999], [2.094, 3.387, -6.999]], "species": ["Pr", "Er", "Er", "Cu", "Cu", "Cu", "Cu", "Ge", "Ge", "Ge", "Ge"], "fractional_positions": [[0.000, 0.000, 0.000], [0.370, 0.870, 0.500], [0.630, 0.130, 0.500], [0.021, 0.331, 0.690], [0.359, 0.669, 0.690], [0.641, 0.331, 0.310], [0.979, 0.669, 0.310], [0.220, 0.220, 0.000], [0.315, 0.500, 0.815], [0.685, 0.500, 0.185], [0.780, 0.780, 0.000]], "total_magnetization_mub_per_cell": 0.0, "final_energy_ev_per_atom": -4.914, "sg": "Immm (71)"}



{"formula": "Pr2ErCu4Ge4", "functional": "PBE", "state": "optimized geometry", "lattice_angstrom": [[-2.167, 3.325, 7.132], [2.167, -3.325, 7.132], [2.167, 3.325, -7.132]], "species": ["Pr", "Pr", "Er", "Cu", "Cu", "Cu", "Cu", "Ge", "Ge", "Ge", "Ge"], "fractional_positions": [[0.132, 0.132, 0.000], [0.868, 0.868, 0.000], [0.500, 0.000, 0.500], [0.146, 0.333, 0.813], [0.480, 0.667, 0.813], [0.520, 0.333, 0.187], [0.854, 0.667, 0.187], [0.195, 0.500, 0.695], [0.286, 0.786, 0.500], [0.714, 0.214, 0.500], [0.805, 0.500, 0.305]], "total_magnetization_mub_per_cell": 0.0, "final_energy_ev_per_atom": -4.906, "sg": "Immm (71)"}



{"formula": "Er3CuGeS7", "functional": "PBE", "state": "optimized geometry", "lattice_angstrom": [[9.749, 0.000, 0.000], [-4.874, 8.442, 0.000], [0.000, 0.000, 5.852]], "species": ["Er", "Er", "Er", "Er", "Er", "Er", "Cu", "Cu", "Ge", "Ge", "S", "S", "S", "S", "S", "S", "S", "S", "S", "S", "S", "S", "S", "S"], "fractional_positions": [[0.137, 0.778, 0.000], [0.222, 0.358, 0.000], [0.358, 0.137, 0.500], [0.642, 0.863, 0.000], [0.778, 0.642, 0.500], [0.863, 0.222, 0.500], [0.000, 0.000, 0.419], [0.000, 0.000, 0.919], [0.333, 0.667, 0.580], [0.667, 0.333, 0.080], [0.096, 0.520, 0.744], [0.104, 0.842, 0.449], [0.158, 0.262, 0.449], [0.262, 0.104, 0.949], [0.333, 0.667, 0.201], [0.424, 0.904, 0.744], [0.480, 0.576, 0.744], [0.520, 0.424, 0.244], [0.576, 0.096, 0.244], [0.667, 0.333, 0.701], [0.738, 0.896, 0.449], [0.842, 0.738, 0.949], [0.896, 0.158, 0.949], [0.904, 0.480, 0.244]], "total_magnetization_mub_per_cell": 0.0, "final_energy_ev_per_atom": -5.661, "sg": "P6_3 (173)"}



{"formula": "ErCuGeSeS2", "functional": "PBE", "state": "optimized geometry", "lattice_angstrom": [[1.901, -6.311, 0.000], [1.901, 6.311, 0.000], [0.000, 0.000, 10.436]], "species": ["Er", "Er", "Cu", "Cu", "Ge", "Ge", "Se", "Se", "S", "S", "S", "S"], "fractional_positions": [[0.000, 0.000, 0.000], [0.000, 0.000, 0.500], [0.471, 0.529, 0.750], [0.529, 0.471, 0.250], [0.214, 0.786, 0.250], [0.786, 0.214, 0.750], [0.098, 0.902, 0.750], [0.902, 0.098, 0.250], [0.360, 0.640, 0.575], [0.360, 0.640, 0.925], [0.640, 0.360, 0.075], [0.640, 0.360, 0.425]], "total_magnetization_mub_per_cell": 0.0, "final_energy_ev_per_atom": -4.993, "sg": "Cmcm (63)"}



{"formula": "ErCuGeTe2S", "functional": "PBE", "state": "optimized geometry", "lattice_angstrom": [[2.014, -7.288, 0.000], [2.014, 7.288, 0.000], [0.000, 0.000, 10.033]], "species": ["Er", "Er", "Cu", "Cu", "Ge", "Ge", "Te", "Te", "Te", "Te", "S", "S"], "fractional_positions": [[0.000, 0.000, 0.000], [0.000, 0.000, 0.500], [0.481, 0.519, 0.750], [0.519, 0.481, 0.250], [0.234, 0.766, 0.250], [0.766, 0.234, 0.750], [0.347, 0.653, 0.562], [0.347, 0.653, 0.938], [0.653, 0.347, 0.062], [0.653, 0.347, 0.438], [0.065, 0.935, 0.750], [0.935, 0.065, 0.250]], "total_magnetization_mub_per_cell": 0.0, "final_energy_ev_per_atom": -4.524, "sg": "Cmcm (63)"}



{"formula": "ErSc2Cu4Ge4", "functional": "PBE", "state": "optimized geometry", "lattice_angstrom": [[-2.016, 3.326, 6.723], [2.016, -3.326, 6.723], [2.016, 3.326, -6.723]], "species": ["Er", "Sc", "Sc", "Cu", "Cu", "Cu", "Cu", "Ge", "Ge", "Ge", "Ge"], "fractional_positions": [[0.000, 0.000, 0.000], [0.373, 0.873, 0.500], [0.627, 0.127, 0.500], [0.022, 0.328, 0.693], [0.365, 0.672, 0.693], [0.635, 0.328, 0.307], [0.978, 0.672, 0.307], [0.220, 0.220, 0.000], [0.312, 0.500, 0.812], [0.688, 0.500, 0.188], [0.780, 0.780, 0.000]], "total_magnetization_mub_per_cell": 0.0, "final_energy_ev_per_atom": -5.191, "sg": "Immm (71)"}



Please write out number 3 again, unchanged.
{"formula": "Er3CuGeS7", "functional": "PBE", "state": "optimized geometry", "lattice_angstrom": [[9.749, 0.000, 0.000], [-4.874, 8.442, 0.000], [0.000, 0.000, 5.852]], "species": ["Er", "Er", "Er", "Er", "Er", "Er", "Cu", "Cu", "Ge", "Ge", "S", "S", "S", "S", "S", "S", "S", "S", "S", "S", "S", "S", "S", "S"], "fractional_positions": [[0.137, 0.778, 0.000], [0.222, 0.358, 0.000], [0.358, 0.137, 0.500], [0.642, 0.863, 0.000], [0.778, 0.642, 0.500], [0.863, 0.222, 0.500], [0.000, 0.000, 0.419], [0.000, 0.000, 0.919], [0.333, 0.667, 0.580], [0.667, 0.333, 0.080], [0.096, 0.520, 0.744], [0.104, 0.842, 0.449], [0.158, 0.262, 0.449], [0.262, 0.104, 0.949], [0.333, 0.667, 0.201], [0.424, 0.904, 0.744], [0.480, 0.576, 0.744], [0.520, 0.424, 0.244], [0.576, 0.096, 0.244], [0.667, 0.333, 0.701], [0.738, 0.896, 0.449], [0.842, 0.738, 0.949], [0.896, 0.158, 0.949], [0.904, 0.480, 0.244]], "total_magnetization_mub_per_cell": 0.0, "final_energy_ev_per_atom": -5.661, "sg": "P6_3 (173)"}